Density functional theory data (GGA+U) for crystalline K2Cu3NiF12 at its relaxed geometry.

Symmetry: R-3m, No. 166
Total energy, eV per formula unit: -73.78
N(E_F), states/eV/cell: 7.943

Structure (POSCAR):
```
K2Cu3NiF12
1.0
3.635 2.099 5.775
-3.635 2.099 5.775
0.000 -4.198 5.775
K Cu Ni F
2 3 1 12
direct
0.130 0.130 0.130 K
0.870 0.870 0.870 K
0.000 0.500 0.500 Cu
0.500 0.000 0.500 Cu
0.500 0.500 0.000 Cu
0.500 0.500 0.500 Ni
0.165 0.581 0.581 F
0.178 0.178 0.577 F
0.178 0.577 0.178 F
0.419 0.419 0.835 F
0.419 0.835 0.419 F
0.423 0.822 0.822 F
0.577 0.178 0.178 F
0.581 0.165 0.581 F
0.581 0.581 0.165 F
0.822 0.423 0.822 F
0.822 0.822 0.423 F
0.835 0.419 0.419 F
```